Record 1
! AgHgTe2 (PBE-GGA, optimized geometry); values from VASP
! - Spin magnetization: 0.0 μB/cell
! - E_tot: -0.08446 Ha/atom
! - Crystal system: monoclinic
! - E_form (uncorrected): 0.0607 eV/atom
&SYSTEM
  ibrav = 0, nat = 4, ntyp = 3
/
ATOMIC_SPECIES
Te 127.60 Te.upf
Hg 200.59 Hg.upf
Ag 107.87 Ag.upf
ATOMIC_POSITIONS crystal
Te 0.933 0.933 0.033
Te 0.829 0.829 0.689
Hg 0.163 0.163 0.249
Ag 0.575 0.575 0.529
CELL_PARAMETERS angstrom
-2.555 -3.751 1.411
0.186 -4.744 0.213
3.194 -0.754 7.929

=====

Record 2
! SrZn2Ru (PBE-GGA, optimized geometry); values from VASP
! - Spin magnetization: 0.2 μB/cell
! - E_tot: -0.11148 Ha/atom
! - Crystal system: tetragonal
! - Formation energy: 0.343 eV/atom
&SYSTEM
  ibrav = 0, nat = 4, ntyp = 3
/
ATOMIC_SPECIES
Ru 101.07 Ru.upf
Sr 87.62 Sr.upf
Zn 65.41 Zn.upf
ATOMIC_POSITIONS crystal
Ru 0.500 0.000 0.500
Sr 0.000 0.500 0.500
Zn 0.000 0.000 0.000
Zn 0.500 0.500 0.000
CELL_PARAMETERS angstrom
4.366 0.000 0.000
0.000 4.368 0.000
0.000 0.000 4.083

=====

Record 3
! CsPuZn2F8 (PBE-GGA, optimized geometry); values from VASP
! - Spin magnetization: 5.0 μB/cell
! - E_tot: -0.20144 Ha/atom
! - Crystal system: trigonal
! - E_form (uncorrected): -2.7562 eV/atom
&SYSTEM
  ibrav = 0, nat = 12, ntyp = 4
/
ATOMIC_SPECIES
Cs 132.91 Cs.upf
Pu 244.00 Pu.upf
Zn 65.41 Zn.upf
F 19.00 F.upf
ATOMIC_POSITIONS crystal
Cs 0.500 0.500 0.500
Pu 0.000 0.000 0.000
Zn 0.246 0.246 0.262
Zn 0.754 0.754 0.738
F 0.170 0.170 0.490
F 0.601 0.262 0.163
F 0.830 0.830 0.510
F 0.974 0.601 0.163
F 0.026 0.399 0.837
F 0.262 0.974 0.163
F 0.738 0.026 0.837
F 0.399 0.738 0.837
CELL_PARAMETERS angstrom
5.696 0.000 0.000
2.848 4.933 0.000
2.848 1.644 8.126